## Mn2RhF (PBE+U)

Data for Mn2RhF after structural relaxation.

Properties
Electronic total energy ... -25.31 eV for the cell shown
Energy above the lowest structure with this stoichiometry ... 186.2 meV/atom

Geometry as CIF:
```
data_Mn2RhF
_cell_length_a 4.426
_cell_length_b 4.426
_cell_length_c 4.426
_cell_angle_alpha 60.00
_cell_angle_beta 60.00
_cell_angle_gamma 60.00
_symmetry_space_group_name_H-M 'P 1'
_symmetry_Int_Tables_number 1
_symmetry_space_group_name_Hall 'P 1'
loop_
_atom_site_label
_atom_site_fract_x
_atom_site_fract_y
_atom_site_fract_z
F1 0.000 0.000 0.000
Rh1 0.500 0.500 0.500
Mn1 0.750 0.750 0.750
Mn2 0.250 0.250 0.250
```